No. 1
! PBE KNaIO4, optimized geometry; values from VASP
&SYSTEM
  ibrav = 0, nat = 14, ntyp = 4
/
ATOMIC_SPECIES
Na 22.99 Na.upf
O 16.00 O.upf
K 39.10 K.upf
I 126.90 I.upf
CELL_PARAMETERS angstrom
-1.280 1.343 4.544
-4.674 -4.180 -0.081
5.556 -6.221 0.521
ATOMIC_POSITIONS crystal
Na 0.789 0.750 0.533
O 0.071 0.049 0.211
O 0.929 0.951 0.789
K 0.452 0.750 0.847
O 0.483 0.250 0.778
O 0.071 0.451 0.211
O 0.249 0.750 0.476
I 0.154 0.750 0.244
O 0.517 0.750 0.222
I 0.846 0.250 0.756
K 0.548 0.250 0.153
O 0.751 0.250 0.524
Na 0.211 0.250 0.467
O 0.929 0.549 0.789
! E (eV per atom): -4.339
! E_form (uncorrected) (eV/f.u.): -6.58
! N(E_F) (states/eV/cell): 2.28
! SG: P2_1/m, No. 11

No. 2
! PBE K2NaPaI8, optimized geometry; values from VASP
&SYSTEM
  ibrav = 0, nat = 12, ntyp = 4
/
ATOMIC_SPECIES
K 39.10 K.upf
I 126.90 I.upf
Pa 231.04 Pa.upf
Na 22.99 Na.upf
CELL_PARAMETERS angstrom
-3.694 -4.822 5.344
6.521 0.009 3.648
-3.106 8.364 5.474
ATOMIC_POSITIONS crystal
K 0.500 0.504 0.271
I 0.867 0.226 0.201
I 0.318 0.229 0.002
I 0.300 0.250 0.498
I 0.700 0.750 0.502
I 0.682 0.771 0.998
I 0.133 0.774 0.799
I 0.871 0.228 0.800
I 0.129 0.772 0.200
K 0.500 0.496 0.729
Pa 0.000 0.000 0.000
Na 0.000 0.000 0.500
! E (eV per atom): -3.238
! E_form (uncorrected) (eV/f.u.): -13.44
! SG: P-1, No. 2

No. 3
! PBE KNaPaI6, optimized geometry; values from VASP
&SYSTEM
  ibrav = 0, nat = 18, ntyp = 4
/
ATOMIC_SPECIES
I 126.90 I.upf
Na 22.99 Na.upf
K 39.10 K.upf
Pa 231.04 Pa.upf
CELL_PARAMETERS angstrom
8.136 0.000 0.000
-4.068 7.046 0.000
0.000 0.000 15.392
ATOMIC_POSITIONS crystal
I 0.020 0.372 0.635
I 0.020 0.648 0.865
Na 0.333 0.667 0.250
I 0.628 0.980 0.865
K 0.000 0.000 0.000
I 0.980 0.352 0.135
K 0.000 0.000 0.500
I 0.980 0.628 0.365
I 0.648 0.020 0.365
I 0.352 0.372 0.865
I 0.372 0.020 0.135
I 0.372 0.352 0.365
I 0.648 0.628 0.135
Pa 0.333 0.667 0.750
Pa 0.667 0.333 0.250
Na 0.667 0.333 0.750
I 0.628 0.648 0.635
I 0.352 0.980 0.635
! E (eV per atom): -3.511
! E_form (uncorrected) (eV/f.u.): -10.39
! N(E_F) (states/eV/cell): 1.86
! SG: P-31c, No. 163

No. 4
! PBE KNaPbI4, optimized geometry; values from VASP
&SYSTEM
  ibrav = 0, nat = 14, ntyp = 4
/
ATOMIC_SPECIES
K 39.10 K.upf
I 126.90 I.upf
Pb 207.20 Pb.upf
Na 22.99 Na.upf
CELL_PARAMETERS angstrom
8.533 0.000 0.461
0.000 8.721 0.000
-2.798 0.000 8.951
ATOMIC_POSITIONS crystal
K 0.822 0.750 0.961
I 0.009 0.503 0.275
I 0.463 0.250 0.372
I 0.537 0.750 0.628
I 0.991 0.497 0.725
K 0.178 0.250 0.039
Pb 0.810 0.750 0.457
Pb 0.190 0.250 0.543
I 0.991 0.003 0.725
I 0.536 0.750 0.164
Na 0.282 0.750 0.340
I 0.464 0.250 0.836
I 0.009 0.997 0.275
Na 0.718 0.250 0.660
! E (eV per atom): -2.753
! E_form (uncorrected) (eV/f.u.): -6.94
! N(E_F) (states/eV/cell): 0.00
! SG: P2_1/m, No. 11

No. 5
! PBE K2NaPbI5, optimized geometry; values from VASP
&SYSTEM
  ibrav = 0, nat = 18, ntyp = 4
/
ATOMIC_SPECIES
I 126.90 I.upf
Pb 207.20 Pb.upf
K 39.10 K.upf
Na 22.99 Na.upf
CELL_PARAMETERS angstrom
-4.195 -0.433 2.327
6.048 -7.363 4.548
4.937 10.792 10.905
ATOMIC_POSITIONS crystal
I 0.384 0.768 0.992
Pb 0.229 0.459 0.031
K 0.125 0.250 0.301
I 0.291 0.582 0.396
Na 0.553 0.106 0.946
I 0.498 0.996 0.271
I 0.075 0.149 0.061
K 0.085 0.171 0.655
Na 0.447 0.894 0.446
K 0.915 0.829 0.155
I 0.502 0.004 0.771
K 0.875 0.750 0.801
I 0.925 0.851 0.561
Pb 0.771 0.541 0.531
I 0.740 0.481 0.173
I 0.616 0.232 0.492
I 0.260 0.519 0.673
I 0.709 0.418 0.896
! E (eV per atom): -2.802
! E_form (uncorrected) (eV/f.u.): -10.25
! N(E_F) (states/eV/cell): 0.00
! SG: Cmc2_1, No. 36

No. 6
! PBE KNaPb2I6, optimized geometry; values from VASP
&SYSTEM
  ibrav = 0, nat = 10, ntyp = 4
/
ATOMIC_SPECIES
I 126.90 I.upf
K 39.10 K.upf
Pb 207.20 Pb.upf
Na 22.99 Na.upf
CELL_PARAMETERS angstrom
8.368 0.001 0.001
4.185 7.248 0.003
4.184 2.419 7.452
ATOMIC_POSITIONS crystal
I 0.610 0.243 0.239
K 0.810 0.810 0.569
Pb 0.008 0.008 0.976
I 0.908 0.610 0.239
Pb 0.513 0.513 0.461
I 0.141 0.378 0.750
Na 0.319 0.319 0.043
I 0.378 0.731 0.750
I 0.731 0.141 0.750
I 0.243 0.908 0.239
! E (eV per atom): -2.829
! E_form (uncorrected) (eV/f.u.): -9.16
! N(E_F) (states/eV/cell): 0.00
! SG: R3, No. 146

No. 7
! PBE KNa2PmI6, optimized geometry; values from VASP
&SYSTEM
  ibrav = 0, nat = 10, ntyp = 4
/
ATOMIC_SPECIES
I 126.90 I.upf
Na 22.99 Na.upf
K 39.10 K.upf
Pm 145.00 Pm.upf
CELL_PARAMETERS angstrom
-7.042 2.108 3.685
-0.648 -0.433 8.185
-0.142 7.655 4.525
ATOMIC_POSITIONS crystal
I 0.582 0.244 0.239
I 0.375 0.727 0.758
Na 0.516 0.516 0.453
I 0.935 0.582 0.239
Na 0.004 0.004 0.987
K 0.812 0.813 0.562
I 0.243 0.935 0.239
I 0.727 0.140 0.758
Pm 0.326 0.326 0.021
I 0.141 0.375 0.758
! E (eV per atom): -3.135
! E_form (uncorrected) (eV/f.u.): -13.56
! N(E_F) (states/eV/cell): 0.00
! SG: R3, No. 146

No. 8
! PBE K2NaPmI6, optimized geometry; values from VASP
&SYSTEM
  ibrav = 0, nat = 20, ntyp = 4
/
ATOMIC_SPECIES
Na 22.99 Na.upf
I 126.90 I.upf
K 39.10 K.upf
Pm 145.00 Pm.upf
CELL_PARAMETERS angstrom
8.294 0.000 0.069
0.000 8.843 0.000
0.172 0.000 11.928
ATOMIC_POSITIONS crystal
Na 0.500 0.000 0.000
I 0.124 0.466 0.753
I 0.821 0.798 0.938
Na 0.000 0.500 0.500
K 0.465 0.410 0.244
I 0.321 0.702 0.438
Pm 0.000 0.500 0.000
I 0.876 0.534 0.247
Pm 0.500 0.000 0.500
I 0.624 0.034 0.253
I 0.679 0.298 0.562
I 0.195 0.188 0.441
I 0.695 0.312 0.941
I 0.805 0.812 0.559
K 0.535 0.590 0.756
I 0.305 0.688 0.059
K 0.035 0.910 0.256
I 0.376 0.966 0.747
I 0.179 0.202 0.062
K 0.965 0.090 0.744
! E (eV per atom): -3.172
! E_form (uncorrected) (eV/f.u.): -14.15
! N(E_F) (states/eV/cell): 0.00
! SG: P2_1/c, No. 14

No. 9
! PBE KNa2PrI6, optimized geometry; values from VASP
&SYSTEM
  ibrav = 0, nat = 10, ntyp = 4
/
ATOMIC_SPECIES
I 126.90 I.upf
Pr 140.91 Pr.upf
K 39.10 K.upf
Na 22.99 Na.upf
CELL_PARAMETERS angstrom
8.256 0.001 0.002
4.129 7.148 0.001
4.129 2.383 7.549
ATOMIC_POSITIONS crystal
I 0.587 0.243 0.240
I 0.931 0.587 0.240
I 0.373 0.729 0.755
I 0.243 0.931 0.240
Pr 0.325 0.325 0.024
K 0.812 0.812 0.565
I 0.729 0.142 0.755
I 0.142 0.374 0.755
Na 0.005 0.005 0.986
Na 0.515 0.515 0.454
! E (eV per atom): -3.140
! E_form (uncorrected) (eV/f.u.): -13.59
! N(E_F) (states/eV/cell): 0.00
! SG: R3, No. 146

No. 10
! PBE K2NaPrI6, optimized geometry; values from VASP
&SYSTEM
  ibrav = 0, nat = 10, ntyp = 4
/
ATOMIC_SPECIES
I 126.90 I.upf
K 39.10 K.upf
Pr 140.91 Pr.upf
Na 22.99 Na.upf
CELL_PARAMETERS angstrom
-0.045 8.538 -1.035
-7.466 4.198 -0.787
-2.774 5.122 6.633
ATOMIC_POSITIONS crystal
I 0.181 0.975 0.268
K 0.532 0.532 0.404
Pr 0.323 0.323 0.031
I 0.975 0.577 0.268
I 0.677 0.094 0.770
Na 0.818 0.818 0.545
K 0.026 0.026 0.922
I 0.577 0.181 0.268
I 0.094 0.459 0.770
I 0.459 0.677 0.770
! E (eV per atom): -3.167
! E_form (uncorrected) (eV/f.u.): -14.08
! N(E_F) (states/eV/cell): 0.00
! SG: R3, No. 146

No. 11
! PBE KNaPuI6, optimized geometry; values from VASP
&SYSTEM
  ibrav = 0, nat = 18, ntyp = 4
/
ATOMIC_SPECIES
Pu 244.00 Pu.upf
I 126.90 I.upf
K 39.10 K.upf
Na 22.99 Na.upf
CELL_PARAMETERS angstrom
8.080 0.000 0.000
-4.040 6.998 0.000
0.000 0.000 15.278
ATOMIC_POSITIONS crystal
Pu 0.333 0.667 0.750
I 0.351 0.373 0.865
I 0.351 0.978 0.635
K 0.000 0.000 0.000
I 0.373 0.351 0.365
I 0.978 0.627 0.365
I 0.649 0.627 0.135
Na 0.333 0.667 0.250
I 0.627 0.649 0.635
Pu 0.667 0.333 0.250
I 0.022 0.373 0.635
I 0.649 0.022 0.365
I 0.373 0.022 0.135
I 0.627 0.978 0.865
K 0.000 0.000 0.500
I 0.022 0.649 0.865
I 0.978 0.351 0.135
Na 0.667 0.333 0.750
! E (eV per atom): -3.978
! E_form (uncorrected) (eV/f.u.): -9.75
! N(E_F) (states/eV/cell): 20.52
! SG: P-31c, No. 163

No. 12
! PBE KRbNaI3, optimized geometry; values from VASP
&SYSTEM
  ibrav = 0, nat = 12, ntyp = 4
/
ATOMIC_SPECIES
Na 22.99 Na.upf
Rb 85.47 Rb.upf
I 126.90 I.upf
K 39.10 K.upf
CELL_PARAMETERS angstrom
-4.286 -0.968 2.724
-2.266 -7.745 -6.318
6.333 -5.274 8.093
ATOMIC_POSITIONS crystal
Na 0.750 0.897 0.398
Na 0.250 0.103 0.602
Rb 0.250 0.186 0.200
I 0.250 0.568 0.834
I 0.750 0.905 0.139
Rb 0.750 0.814 0.800
I 0.750 0.203 0.510
K 0.750 0.341 0.855
K 0.250 0.659 0.145
I 0.250 0.095 0.861
I 0.750 0.432 0.166
I 0.250 0.797 0.490
! E (eV per atom): -2.704
! E_form (uncorrected) (eV/f.u.): -8.19
! N(E_F) (states/eV/cell): 0.00
! SG: P2_1/m, No. 11